Record 1
## Zr2TlRuSe (PBE-GGA)

Data for a geometry-optimized Zr2TlRuSe structure.

```
data_Zr2TlRuSe
_space_group_name_H-M_alt 'P 1'
_space_group_IT_number 1
_cell_length_a 5.353
_cell_length_b 4.925
_cell_length_c 5.353
_cell_angle_alpha 90.00
_cell_angle_beta 90.00
_cell_angle_gamma 90.00
loop_
_space_group_symop_operation_xyz
'x,y,z'
loop_
_atom_site_label
_atom_site_fract_x
_atom_site_fract_y
_atom_site_fract_z
Ru1 0.000 0.500 0.000
Tl1 0.000 0.000 0.000
Se1 0.500 0.500 0.500
Zr1 0.000 0.000 0.500
Zr2 0.500 0.000 0.000
```

Symmetry ... P4/mmm, No. 123
Total energy ... -5.119 eV/atom
Energy relative to the elements, uncorrected ... 1.33 eV per atom


Record 2
## Tm6RuSe5 (PBE-GGA)

Data for a geometry-optimized Tm6RuSe5 structure.

```
data_Tm6RuSe5
_space_group_name_H-M_alt 'P 1'
_space_group_IT_number 1
_cell_length_a 7.071
_cell_length_b 7.071
_cell_length_c 7.026
_cell_angle_alpha 99.66
_cell_angle_beta 99.66
_cell_angle_gamma 120.03
loop_
_space_group_symop_operation_xyz
'x,y,z'
loop_
_atom_site_label
_atom_site_fract_x
_atom_site_fract_y
_atom_site_fract_z
Ru1 0.000 0.000 0.000
Tm1 0.384 0.075 0.231
Tm2 0.925 0.616 0.769
Tm3 0.227 0.227 0.764
Tm4 0.773 0.773 0.236
Tm5 0.075 0.384 0.231
Tm6 0.616 0.925 0.769
Se1 0.823 0.177 0.500
Se2 0.664 0.336 0.000
Se3 0.500 0.500 0.500
Se4 0.336 0.664 0.000
Se5 0.177 0.823 0.500
```

Symmetry ... C2/m, No. 12
Total energy ... -5.941 eV/atom
Energy relative to the elements, uncorrected ... -1.48 eV per atom


Record 3
## Tm4RuSe2 (PBE-GGA)

Data for a geometry-optimized Tm4RuSe2 structure.

```
data_Tm4RuSe2
_space_group_name_H-M_alt 'P 1'
_space_group_IT_number 1
_cell_length_a 3.797
_cell_length_b 6.765
_cell_length_c 13.943
_cell_angle_alpha 90.00
_cell_angle_beta 90.00
_cell_angle_gamma 106.30
loop_
_space_group_symop_operation_xyz
'x,y,z'
loop_
_atom_site_label
_atom_site_fract_x
_atom_site_fract_y
_atom_site_fract_z
Tm1 0.201 0.403 0.632
Tm2 0.799 0.597 0.368
Tm3 0.799 0.597 0.132
Tm4 0.201 0.403 0.868
Tm5 0.950 0.901 0.750
Tm6 0.050 0.099 0.250
Tm7 0.500 0.000 0.000
Tm8 0.500 0.000 0.500
Ru1 0.399 0.798 0.250
Ru2 0.601 0.202 0.750
Se1 0.858 0.716 0.935
Se2 0.142 0.284 0.065
Se3 0.858 0.716 0.565
Se4 0.142 0.284 0.435
```

Symmetry ... Cmcm, No. 63
Total energy ... -5.957 eV/atom
Energy relative to the elements, uncorrected ... -1.08 eV per atom